1.
Material: HfZrBi
Method: DFT, PBE
State: optimized geometry

The structure in POSCAR format:
```
HfZrBi
1.0
7.5036 -0.0127 -0.0243
-2.8064 6.4426 0.7446
1.8907 3.3639 6.4354
Zr Bi Hf
4 4 4
direct
0.1287 0.7241 0.9931 Zr
0.6546 0.7759 0.9673 Zr
0.2569 0.2241 0.1213 Zr
0.2827 0.2759 0.5954 Zr
0.0039 0.8098 0.6210 Bi
0.4441 0.6902 0.6809 Bi
0.6290 0.3098 0.2461 Bi
0.5691 0.1902 0.8059 Bi
0.3162 0.7599 0.3185 Hf
0.8063 0.7401 0.3284 Hf
0.9315 0.2599 0.9338 Hf
0.9216 0.2401 0.4437 Hf
```

Summary:
For the calculated total energy, the calculation gives -7.602 eV per atom.

2.
Material: BaLa2Au
Method: DFT, PBE
State: optimized geometry

The structure in POSCAR format:
```
BaLa2Au
1.0
-3.6801 -2.0742 -0.4867
0.0042 -4.1141 -1.0754
-1.0729 -4.7071 9.5958
La Au Ba
2 1 1
direct
0.2754 0.2754 0.1738 La
0.0576 0.0576 0.8271 La
0.6660 0.6660 0.0020 Au
0.5010 0.5010 0.4971 Ba
```

Summary:
Its energy above the lowest structure with this stoichiometry is 0.0716 eV/atom.

| no. | volume (Å³ per cell) |
| --- | --- |
| 1 | 292.6 |
| 2 | 163.8 |